A relaxed structure of Cs2NaTl6Cd, computed with PBE.

abc: 7.9584 7.9584 7.2794
angles: 90.00 90.00 120.00
Space group P-3m1 (No. 164)
Symmetry-distinct sites (fractional):
Cs: 0.3333 0.6667 0.3407 (multiplicity 2)
Na: 0.0000 0.0000 0.5000 (multiplicity 1)
Tl: 0.1970 0.3940 0.8309 (multiplicity 6)
Cd: 0.0000 0.0000 0.0000 (multiplicity 1)

Properties
As for the final energy: -18.19 eV/f.u. The crystal system is trigonal. As for the energy of formation from the pure elements: -4.8 meV per atom.